Arrangement 1

Below is a geometry-optimized LiLaMg2 structure, with properties calculated at the PBE level.

CIF file:
```
data_LiLaMg2
_chemical_formula_sum 'Li1 La1 Mg2'
_cell_length_a 3.2175
_cell_length_b 4.9741
_cell_length_c 6.7532
_cell_angle_alpha 90.00
_cell_angle_beta 103.68
_cell_angle_gamma 90.00
_space_group_name_H-M_alt 'P 1 m 1'
_space_group_IT_number 6
loop_
_space_group_symop_operation_xyz
'x,y,z'
'x,-y,z'
loop_
_atom_site_label
_atom_site_fract_x
_atom_site_fract_y
_atom_site_fract_z
_atom_site_occupancy
Li1 0.0000 0.0000 0.0000 1
La1 0.3640 0.5000 0.7388 1
Mg1 0.0995 0.5000 0.2228 1
Mg2 0.7123 0.0000 0.4389 1
```

Calculated values
theoretical density	3.075	g cm⁻³

=====

Arrangement 2

Below is a geometry-optimized LiLaMg2 structure, with properties calculated at the PBE level.

CIF file:
```
data_LiLaMg2
_chemical_formula_sum 'Li2 La2 Mg4'
_cell_length_a 10.5692
_cell_length_b 3.2268
_cell_length_c 6.2760
_cell_angle_alpha 90.00
_cell_angle_beta 98.36
_cell_angle_gamma 90.00
_space_group_name_H-M_alt 'C 1 m 1'
_space_group_IT_number 8
loop_
_space_group_symop_operation_xyz
'x,y,z'
'x,-y,z'
'x+1/2,y+1/2,z'
'x+1/2,-y+1/2,z'
loop_
_atom_site_label
_atom_site_fract_x
_atom_site_fract_y
_atom_site_fract_z
_atom_site_occupancy
Li1 0.0000 0.0000 0.0000 1
La1 0.2375 0.0000 0.7153 1
Mg1 0.2365 0.5000 0.2128 1
Mg2 0.4811 0.0000 0.4276 1
```

Calculated values
theoretical density	3.050	g cm⁻³

=====

Arrangement 3

Below is a geometry-optimized LiLaMg2 structure, with properties calculated at the PBE level.

CIF file:
```
data_LiLaMg2
_chemical_formula_sum 'Li3 La3 Mg6'
_cell_length_a 3.3285
_cell_length_b 3.3285
_cell_length_c 33.0425
_cell_angle_alpha 90.00
_cell_angle_beta 90.00
_cell_angle_gamma 120.00
_space_group_name_H-M_alt 'R -3 m'
_space_group_IT_number 166
_space_group_name_Hall '-R 3 2"'
loop_
_atom_site_label
_atom_site_fract_x
_atom_site_fract_y
_atom_site_fract_z
_atom_site_occupancy
Li1 0.0000 0.0000 0.0000 1
La1 0.0000 0.0000 0.5000 1
Mg1 0.0000 0.0000 0.2573 1
```

Calculated values
theoretical density	3.056	g cm⁻³

=====

Arrangement 4

Below is a geometry-optimized LiLaMg2 structure, with properties calculated at the PBE level.

CIF file:
```
data_LiLaMg2
_chemical_formula_sum 'Li1 La1 Mg2'
_cell_length_a 3.2603
_cell_length_b 4.9058
_cell_length_c 6.7519
_cell_angle_alpha 90.00
_cell_angle_beta 102.91
_cell_angle_gamma 90.00
_space_group_name_H-M_alt 'P 1 2/m 1'
_space_group_IT_number 10
loop_
_space_group_symop_operation_xyz
'x,y,z'
'-x,-y,-z'
'-x,y,-z'
'x,-y,z'
loop_
_atom_site_label
_atom_site_fract_x
_atom_site_fract_y
_atom_site_fract_z
_atom_site_occupancy
Li1 0.0000 0.0000 0.0000 1
La1 0.0000 0.0000 0.5000 1
Mg1 0.3884 0.5000 0.2142 1
```

Calculated values
theoretical density	3.068	g cm⁻³

=====

Stability verdict: arrangement 4, ahead by 1.6 kJ/mol of atoms

=====

Arrangement 1

Below is a geometry-optimized Li3LaMg structure, with properties calculated at the PBE level.

CIF file:
```
data_Li3LaMg
_chemical_formula_sum 'Li3 La1 Mg1'
_cell_length_a 5.5789
_cell_length_b 5.5789
_cell_length_c 5.5789
_cell_angle_alpha 90.00
_cell_angle_beta 90.00
_cell_angle_gamma 90.00
_space_group_name_H-M_alt 'P m -3 m'
_space_group_IT_number 221
_space_group_name_Hall '-P 4 2 3'
loop_
_atom_site_label
_atom_site_fract_x
_atom_site_fract_y
_atom_site_fract_z
_atom_site_occupancy
Li1 0.0000 0.0000 0.5000 1
La1 0.0000 0.0000 0.0000 1
Mg1 0.5000 0.5000 0.5000 1
```

Calculated values
theoretical density	1.760	g cm⁻³

=====

Arrangement 2

Below is a geometry-optimized Li3LaMg structure, with properties calculated at the PBE level.

CIF file:
```
data_Li3LaMg
_chemical_formula_sum 'Li3 La1 Mg1'
_cell_length_a 5.1035
_cell_length_b 5.1035
_cell_length_c 5.1035
_cell_angle_alpha 90.00
_cell_angle_beta 90.00
_cell_angle_gamma 90.00
_space_group_name_H-M_alt 'P m -3 m'
_space_group_IT_number 221
_space_group_name_Hall '-P 4 2 3'
loop_
_atom_site_label
_atom_site_fract_x
_atom_site_fract_y
_atom_site_fract_z
_atom_site_occupancy
Li1 0.0000 0.0000 0.5000 1
La1 0.5000 0.5000 0.5000 1
Mg1 0.0000 0.0000 0.0000 1
```

Calculated values
theoretical density	2.299	g cm⁻³

=====

Stability verdict: arrangement 2, ahead by 71.2 kJ/mol of atoms